Material: HgSb2Ir
Method: DFT, PBE-GGA
State: relaxed

Calculated values
As for the symmetry: P4mm, No. 99. The calculation puts the formation energy without anion corrections at 203 meV/atom.

a b c (Å): 3.1771 3.1771 9.0171
angles (deg): 90.00 90.00 90.00
Fractional coordinates of all 4 atoms:
Hg 0.0000 0.0000 0.0000
Sb 0.0000 0.0000 0.3939
Sb 0.5000 0.5000 0.7126
Ir 0.5000 0.5000 0.2208

=====

Material: HgSbIr
Method: DFT, PBE-GGA
State: relaxed

Calculated values
As for the symmetry: P3m1, No. 156. The calculation puts the formation energy without anion corrections at 170 meV/atom.

a b c (Å): 3.5120 3.5120 6.4972
angles (deg): 90.00 90.00 120.00
Fractional coordinates of all 3 atoms:
Hg 0.0000 0.0000 0.0000
Sb 0.3333 0.6667 0.5655
Ir 0.6667 0.3333 0.3167

=====

Material: HgSb2Ir
Method: DFT, PBE-GGA
State: relaxed

Calculated values
As for the symmetry: P4/mmm, No. 123. The calculation puts the formation energy without anion corrections at 34 meV/atom.

a b c (Å): 3.2970 3.2970 8.9784
angles (deg): 90.00 90.00 90.00
Fractional coordinates of all 4 atoms:
Hg 0.0000 0.0000 0.0000
Sb 0.5000 0.5000 0.3191
Sb 0.5000 0.5000 0.6809
Ir 0.0000 0.0000 0.5000

=====

Material: HgSb4Ir
Method: DFT, PBE-GGA
State: relaxed

Calculated values
As for the symmetry: F-43m, No. 216. The calculation puts the formation energy without anion corrections at 897 meV/atom.

a b c (Å): 6.0828 6.0828 6.0828
angles (deg): 60.00 60.00 60.00
Fractional coordinates of all 6 atoms:
Hg 0.0000 0.0000 0.0000
Sb 0.3739 0.3739 0.3739
Sb 0.3739 0.3739 0.8783
Sb 0.3739 0.8783 0.3739
Sb 0.8783 0.3739 0.3739
Ir 0.7500 0.7500 0.7500

=====

Material: HgSbIr
Method: DFT, PBE-GGA
State: relaxed

Calculated values
As for the symmetry: F-43m, No. 216. The calculation puts the formation energy without anion corrections at 125 meV/atom.

a b c (Å): 4.5587 4.5587 4.5587
angles (deg): 60.00 60.00 60.00
Fractional coordinates of all 3 atoms:
Hg 0.0000 0.0000 0.0000
Sb 0.5000 0.5000 0.5000
Ir 0.2500 0.2500 0.2500

=====

Material: HgSb2Ir
Method: DFT, PBE-GGA
State: relaxed

Calculated values
As for the symmetry: Cmmm, No. 65. The calculation puts the formation energy without anion corrections at -5 meV/atom.

a b c (Å): 5.9738 5.9738 3.6081
angles (deg): 90.00 90.00 126.32
Fractional coordinates of all 4 atoms:
Hg 0.0000 0.0000 0.0000
Sb 0.3186 0.6814 0.5000
Sb 0.6814 0.3186 0.5000
Ir 0.5000 0.5000 0.0000

=====

Material: HgSb2Ir
Method: DFT, PBE-GGA
State: relaxed

Calculated values
As for the symmetry: Immm, No. 71. The calculation puts the formation energy without anion corrections at 113 meV/atom.

a b c (Å): 6.8016 6.8016 6.8016
angles (deg): 152.89 138.84 49.99
Fractional coordinates of all 4 atoms:
Hg 0.0000 0.0000 0.0000
Sb 0.3184 0.8184 0.5000
Sb 0.6816 0.1816 0.5000
Ir 0.5000 0.5000 0.0000

=====

Material: HgSbIr
Method: DFT, PBE-GGA
State: relaxed

Calculated values
As for the symmetry: I4mm, No. 107. The calculation puts the formation energy without anion corrections at 283 meV/atom.

a b c (Å): 5.5052 5.5052 5.5052
angles (deg): 142.16 142.16 54.59
Fractional coordinates of all 3 atoms:
Hg 0.0000 0.0000 0.0000
Sb 0.7022 0.7022 0.0000
Ir 0.3095 0.3095 0.0000

=====

Material: HgSb2Ir
Method: DFT, PBE-GGA
State: relaxed

Calculated values
As for the symmetry: Pm, No. 6. The calculation puts the formation energy without anion corrections at 188 meV/atom.

a b c (Å): 4.1462 3.5481 6.6712
angles (deg): 90.00 108.03 90.00
Fractional coordinates of all 4 atoms:
Hg 0.0000 0.0000 0.0000
Sb 0.2698 0.0000 0.5782
Sb 0.6031 0.5000 0.2244
Ir 0.7783 0.5000 0.6377

=====

Material: HgSb2Ir
Method: DFT, PBE-GGA
State: relaxed

Calculated values
As for the symmetry: Imm2, No. 44. The calculation puts the formation energy without anion corrections at 31 meV/atom.

a b c (Å): 9.5897 9.5897 9.5897
angles (deg): 161.26 158.66 28.54
Fractional coordinates of all 4 atoms:
Hg 0.0000 0.0000 0.0000
Sb 0.6491 0.6491 0.0000
Sb 0.8330 0.3330 0.5000
Ir 0.2563 0.7563 0.5000

=====

Material: HgSb2Ir
Method: DFT, PBE-GGA
State: relaxed

Calculated values
As for the symmetry: Cmmm, No. 65. The calculation puts the formation energy without anion corrections at 430 meV/atom.

a b c (Å): 5.1017 5.1017 3.5009
angles (deg): 90.00 90.00 107.32
Fractional coordinates of all 4 atoms:
Hg 0.0000 0.0000 0.0000
Sb 0.0000 0.5000 0.5000
Sb 0.5000 0.0000 0.5000
Ir 0.5000 0.5000 0.0000

=====

Material: Hg4SbIr
Method: DFT, PBE-GGA
State: relaxed

Calculated values
As for the symmetry: F-43m, No. 216. The calculation puts the formation energy without anion corrections at 687 meV/atom.

a b c (Å): 5.7320 5.7320 5.7320
angles (deg): 60.00 60.00 60.00
Fractional coordinates of all 6 atoms:
Hg 0.1245 0.1245 0.1245
Hg 0.1245 0.1245 0.6264
Hg 0.1245 0.6264 0.1245
Hg 0.6264 0.1245 0.1245
Sb 0.5000 0.5000 0.5000
Ir 0.7500 0.7500 0.7500